Record 1
# K2RbOsW, relaxed, DFT PBE-GGA
data_K2RbOsW
_chemical_formula_sum 'K2 Rb1 Os1 W1'
_symmetry_space_group_name_H-M 'P 4/m m m'
_symmetry_Int_Tables_number 123
_symmetry_space_group_name_Hall '-P 4 2'
_cell_length_a 6.6678
_cell_length_b 6.6678
_cell_length_c 4.6956
_cell_angle_alpha 90.00
_cell_angle_beta 90.00
_cell_angle_gamma 90.00
loop_
_atom_site_label
_atom_site_type_symbol
_atom_site_fract_x
_atom_site_fract_y
_atom_site_fract_z
K1 K 0.0000 0.5000 0.0000
Rb1 Rb 0.0000 0.0000 0.5000
Os1 Os 0.5000 0.5000 0.5000
W1 W 0.5000 0.5000 0.0000
# - Volume: 208.76 Å³/cell
# - ΔE_f: 133.6 kJ per mole of atoms

Record 2
# NbBSb, relaxed, DFT PBE-GGA
data_NbBSb
_chemical_formula_sum 'Nb4 B4 Sb4'
_symmetry_space_group_name_H-M 'C m c m'
_symmetry_Int_Tables_number 63
_symmetry_space_group_name_Hall '-C 2c 2'
_cell_length_a 3.1905
_cell_length_b 23.4167
_cell_length_c 3.0303
_cell_angle_alpha 90.00
_cell_angle_beta 90.00
_cell_angle_gamma 90.00
loop_
_atom_site_label
_atom_site_type_symbol
_atom_site_fract_x
_atom_site_fract_y
_atom_site_fract_z
Nb1 Nb 0.0000 0.0586 0.2500
B1 B 0.0000 0.4818 0.2500
Sb1 Sb 0.0000 0.1675 0.7500
# - Volume: 226.39 Å³/cell
# - Raw formation energy: -0.93 eV per formula unit

Record 3
# Pm2MgCdHg4, relaxed, DFT PBE-GGA
data_Pm2MgCdHg4
_chemical_formula_sum 'Pm6 Mg3 Cd3 Hg12'
_symmetry_space_group_name_H-M 'R -3 m'
_symmetry_Int_Tables_number 166
_symmetry_space_group_name_Hall '-R 3 2"'
_cell_length_a 5.1664
_cell_length_b 5.1664
_cell_length_c 25.2237
_cell_angle_alpha 90.00
_cell_angle_beta 90.00
_cell_angle_gamma 120.00
loop_
_atom_site_label
_atom_site_type_symbol
_atom_site_fract_x
_atom_site_fract_y
_atom_site_fract_z
Pm1 Pm 0.0000 0.0000 0.2477
Mg1 Mg 0.0000 0.0000 0.0000
Cd1 Cd 0.0000 0.0000 0.5000
Hg1 Hg 0.0000 0.0000 0.1217
Hg2 Hg 0.0000 0.0000 0.3726
# - Volume: 583.06 Å³/cell
# - ΔE_f: -42.8 kJ per mole of atoms

Record 4
# KInTe2, relaxed, DFT PBE-GGA
data_KInTe2
_chemical_formula_sum 'K4 In4 Te8'
_symmetry_space_group_name_H-M 'I 4/m c m'
_symmetry_Int_Tables_number 140
_symmetry_space_group_name_Hall '-I 4 2c'
_cell_length_a 8.7939
_cell_length_b 8.7939
_cell_length_c 7.4318
_cell_angle_alpha 90.00
_cell_angle_beta 90.00
_cell_angle_gamma 90.00
loop_
_atom_site_label
_atom_site_type_symbol
_atom_site_fract_x
_atom_site_fract_y
_atom_site_fract_z
K1 K 0.0000 0.0000 0.2500
In1 In 0.0000 0.5000 0.2500
Te1 Te 0.1752 0.3248 0.0000
# - Volume: 574.72 Å³/cell
# - Raw formation energy: -2.82 eV per formula unit

Record 5
# Mg2ZnRh, relaxed, DFT PBE-GGA
data_Mg2ZnRh
_chemical_formula_sum 'Mg8 Zn4 Rh4'
_symmetry_space_group_name_H-M 'I -4 2 d'
_symmetry_Int_Tables_number 122
_symmetry_space_group_name_Hall 'I -4 2bw'
_cell_length_a 3.8969
_cell_length_b 3.8969
_cell_length_c 18.6679
_cell_angle_alpha 90.00
_cell_angle_beta 90.00
_cell_angle_gamma 90.00
loop_
_atom_site_label
_atom_site_type_symbol
_atom_site_fract_x
_atom_site_fract_y
_atom_site_fract_z
Mg1 Mg 0.2405 0.2500 0.1250
Zn1 Zn 0.0000 0.0000 0.5000
Rh1 Rh 0.0000 0.0000 0.0000
# - Volume: 283.48 Å³/cell
# - ΔE_f: 4.8 kJ per mole of atoms

Record 6
# Pm2Cu2Sn3, relaxed, DFT PBE-GGA
data_Pm2Cu2Sn3
_chemical_formula_sum 'Pm4 Cu4 Sn6'
_symmetry_space_group_name_H-M 'C 1 2/m 1'
_symmetry_Int_Tables_number 12
_symmetry_space_group_name_Hall '-C 2y'
_cell_length_a 10.7230
_cell_length_b 4.2761
_cell_length_c 7.5267
_cell_angle_alpha 90.00
_cell_angle_beta 110.70
_cell_angle_gamma 90.00
loop_
_atom_site_label
_atom_site_type_symbol
_atom_site_fract_x
_atom_site_fract_y
_atom_site_fract_z
Pm1 Pm 0.1480 0.0000 0.2947
Cu1 Cu 0.1541 0.0000 0.7418
Sn1 Sn 0.0000 0.5000 0.5000
Sn2 Sn 0.1195 0.5000 0.9476
# - Volume: 322.84 Å³/cell
# - ΔE_f: -43.8 kJ per mole of atoms
# - Energy above the lowest structure with this stoichiometry: 0.077 eV/atom